SbP2Ru: relaxed, PBE.

Lattice parameters (Å, degrees): 3.118 4.599 4.633 90.00 90.00 90.00
Fractional coordinates of all 4 atoms:
Sb  0.000  0.000  0.000
P  0.000  0.500  0.500
P  0.500  0.000  0.500
Ru  0.500  0.500  0.000

Results
N(E_F)   3.71 states/eV/f.u.
Total magnetic moment   0.00 μB per formula unit
Space-group type   Pmmm (47)
Crystal system   orthorhombic
Formation energy from raw total energies   0.60 eV per atom